Entry 1:
# MgHgPb

An optimized crystal structure of MgHgPb (GGA-PBE, Alexandria).

abc: 4.9608 4.9608 3.6936
angles: 90.00 90.00 120.00
Space group P3m1 (No. 156)
Symmetry-distinct sites (fractional):
1 Mg 0.0000 0.0000 0.0000 x1
2 Hg 0.3333 0.6667 0.9491 x1
3 Pb 0.6667 0.3333 0.4843 x1

Values from the calculation:
Uncorrected energy: -1.9050 eV/atom
ΔH_f (0 K): -0.037 eV per atom

---

Entry 2:
# Sr2MgCl6

An optimized crystal structure of Sr2MgCl6 (GGA-PBE, Alexandria).

abc: 6.523 6.523 12.673
angles: 90.00 90.00 90.00
Space group P4_2/mnm (No. 136)
Symmetry-distinct sites (fractional):
1 Sr 0.000 0.000 0.166 x4
2 Mg 0.000 0.000 0.500 x2
3 Cl 0.186 0.186 0.352 x8
4 Cl 0.219 0.219 0.000 x4

Values from the calculation:
Uncorrected energy: -4.0157 eV/atom
ΔE to the lowest computed polymorph: 0.71 kcal/mol of atoms
Formation energy without anion corrections: -2.23 eV per atom

---

Entry 3:
# SrMgSc2Ni

An optimized crystal structure of SrMgSc2Ni (GGA-PBE, Alexandria).

abc: 5.008 5.008 5.167
angles: 90.00 90.00 90.00
Space group P4/mmm (No. 123)
Symmetry-distinct sites (fractional):
1 Sr 0.000 0.000 0.000 x1
2 Mg 0.500 0.500 0.000 x1
3 Sc 0.000 0.500 0.500 x2
4 Ni 0.500 0.500 0.500 x1

Values from the calculation:
Uncorrected energy: -4.3926 eV/atom
ΔH_f (0 K): -0.048 eV per atom

---

Entry 4:
# CrTeI2N

An optimized crystal structure of CrTeI2N (GGA-PBE, Alexandria).

abc: 4.828 4.828 4.955
angles: 90.00 90.00 90.00
Space group P4/mmm (No. 123)
Symmetry-distinct sites (fractional):
1 Cr 0.000 0.000 0.000 x1
2 Te 0.500 0.500 0.000 x1
3 I 0.000 0.500 0.500 x2
4 N 0.500 0.500 0.500 x1

Values from the calculation:
Uncorrected energy: -3.2702 eV/atom
ΔE to the lowest computed polymorph: 28.60 kcal/mol of atoms
Formation energy without anion corrections: 1.57 eV per atom

---

Entry 5:
# NaHg4Bi2

An optimized crystal structure of NaHg4Bi2 (GGA-PBE, Alexandria).

abc: 4.413 26.651 3.402
angles: 90.00 90.00 90.00
Space group Cmmm (No. 65)
Symmetry-distinct sites (fractional):
1 Na 0.000 0.000 0.000 x2
2 Hg 0.000 0.129 0.000 x4
3 Hg 0.000 0.435 0.500 x4
4 Bi 0.000 0.291 0.500 x4

Values from the calculation:
Uncorrected energy: -1.5529 eV/atom
ΔH_f (0 K): -0.083 eV per atom

---

Entry 6:
# NdTm5Th

An optimized crystal structure of NdTm5Th (GGA-PBE, Alexandria).

abc: 8.883 3.579 14.209
angles: 90.00 103.11 90.00
Space group P2_1/m (No. 11)
Symmetry-distinct sites (fractional):
1 Nd 0.191 0.250 0.168 x2
2 Tm 0.015 0.750 0.314 x2
3 Tm 0.168 0.250 0.918 x2
4 Tm 0.186 0.250 0.514 x2
5 Tm 0.319 0.750 0.730 x2
6 Tm 0.457 0.750 0.087 x2
7 Th 0.417 0.750 0.391 x2

Values from the calculation:
Uncorrected energy: -4.8737 eV/atom
ΔH_f (0 K): 0.061 eV per atom

---

Entry 7:
# Mg7ZnRh4

An optimized crystal structure of Mg7ZnRh4 (GGA-PBE, Alexandria).

abc: 12.670 4.723 9.224
angles: 90.00 126.72 90.00
Space group C2/m (No. 12)
Symmetry-distinct sites (fractional):
1 Mg 0.000 0.000 0.000 x2
2 Mg 0.070 0.500 0.350 x4
3 Mg 0.172 0.000 0.616 x4
4 Mg 0.218 0.500 0.868 x4
5 Zn 0.000 0.500 0.000 x2
6 Rh 0.067 0.000 0.785 x4
7 Rh 0.193 0.000 0.346 x4

Values from the calculation:
Uncorrected energy: -3.6643 eV/atom
ΔH_f (0 K): -0.177 eV per atom